Density functional theory data (GGA-PBE) for an optimized crystal structure of LiMoRu4.

Values from the calculation:
The calculation puts the formation energy at 0.364 eV/atom. Its symmetry is F-43m. As for the final energy: -7.9441 eV per atom. Its volume is 15.18 Å³ per atom.

The structure in POSCAR format:
```
LiMoRu4
1.0
0.000 3.571 3.571
3.571 0.000 3.571
3.571 3.571 0.000
Li Mo Ru
1 1 4
direct
0.750 0.750 0.750
0.000 0.000 0.000
0.874 0.375 0.375
0.375 0.375 0.874
0.375 0.874 0.375
0.375 0.375 0.375
```